(1)
Density functional theory data (PBEsol) for a relaxed structure of Li4Ag.

Cell: 6.383 6.383 4.086 Å, 90.00 90.00 90.00°
Space group I4/m (No. 87)
Unique sites:
Li (0.106, 0.710, 0.000)
Ag (0.000, 0.000, 0.500)

Calculated values
Electronic total energy (eV per cell): -23.4
M_tot (μB/f.u.): 0.00
Energy of formation (meV/atom): -105



(2)
Density functional theory data (PBEsol) for a relaxed structure of LiAg8.

Cell: 8.535 8.535 4.035 Å, 90.00 90.00 90.00°
Space group I4/mmm (No. 139)
Unique sites:
Li (0.000, 0.000, 0.000)
Ag (0.000, 0.331, 0.000)
Ag (0.165, 0.165, 0.500)

Calculated values
Electronic total energy (eV per cell): -57.9
M_tot (μB/f.u.): 0.00
Energy of formation (meV/atom): -57



(3)
Density functional theory data (PBEsol) for a relaxed structure of Li2Ag.

Cell: 5.568 4.080 8.323 Å, 90.00 90.00 90.00°
Space group Pnma (No. 62)
Unique sites:
Li (0.107, 0.250, 0.247)
Li (0.145, 0.250, 0.581)
Ag (0.136, 0.250, 0.916)

Calculated values
Electronic total energy (eV per cell): -30.8
M_tot (μB/f.u.): 0.00
Energy of formation (meV/atom): -149



(4)
Density functional theory data (PBEsol) for a relaxed structure of Li2Ag.

Cell: 3.220 3.220 9.168 Å, 90.00 90.00 90.00°
Space group I4/mmm (No. 139)
Unique sites:
Li (0.000, 0.000, 0.158)
Ag (0.000, 0.000, 0.500)

Calculated values
Electronic total energy (eV per cell): -15.4
M_tot (μB/f.u.): 0.00
Energy of formation (meV/atom): -144



(5)
Density functional theory data (PBEsol) for a relaxed structure of Li2Ag.

Cell: 6.316 6.316 5.445 Å, 90.00 90.00 90.00°
Space group I4/mcm (No. 140)
Unique sites:
Li (0.167, 0.333, 0.000)
Ag (0.000, 0.000, 0.250)

Calculated values
Electronic total energy (eV per cell): -30.4
M_tot (μB/f.u.): 0.00
Energy of formation (meV/atom): -121



(6)
Density functional theory data (PBEsol) for a relaxed structure of Li12Ag17.

Cell: 9.634 9.634 9.634 Å, 90.00 90.00 90.00°
Space group I-43m (No. 217)
Unique sites:
Li (0.090, 0.090, 0.286)
Ag (0.000, 0.000, 0.000)
Ag (0.041, 0.358, 0.358)
Ag (0.173, 0.173, 0.827)

Calculated values
Electronic total energy (eV per cell): -167.4
M_tot (μB/f.u.): 0.00
Energy of formation (meV/atom): -132



(7)
Density functional theory data (PBEsol) for a relaxed structure of Li5Ag24.

Cell: 9.977 9.977 9.977 Å, 90.00 90.00 90.00°
Space group I-43m (No. 217)
Unique sites:
Li (0.000, 0.000, 0.000)
Li (0.177, 0.177, 0.177)
Ag (0.052, 0.363, 0.637)
Ag (0.095, 0.095, 0.714)

Calculated values
Electronic total energy (eV per cell): -180.0
M_tot (μB/f.u.): 0.00
Energy of formation (meV/atom): -24



(8)
Density functional theory data (PBEsol) for a relaxed structure of Li4Ag5.

Cell: 8.447 8.447 4.041 Å, 90.00 90.00 90.00°
Space group I4/mmm (No. 139)
Unique sites:
Li (0.000, 0.317, 0.000)
Ag (0.000, 0.000, 0.000)
Ag (0.169, 0.169, 0.500)

Calculated values
Electronic total energy (eV per cell): -51.5
Offset from the most stable computed form (kcal/mol of atoms): 0.00
M_tot (μB/f.u.): 0.00
Energy of formation (meV/atom): -150



(9)
Density functional theory data (PBEsol) for a relaxed structure of Li5Ag.

Cell: 10.642 3.021 6.964 Å, 90.00 108.50 90.00°
Space group Cm (No. 8)
Unique sites:
Li (0.000, 0.000, 0.000)
Li (0.027, 0.000, 0.601)
Li (0.162, 0.500, 0.336)
Li (0.307, 0.000, 0.700)
Li (0.359, 0.000, 0.227)
Ag (0.193, 0.500, 0.925)

Calculated values
Electronic total energy (eV per cell): -27.1
M_tot (μB/f.u.): 0.00
Energy of formation (meV/atom): -70



(10)
Density functional theory data (PBEsol) for a relaxed structure of Li2Ag.

Cell: 2.854 2.854 25.343 Å, 90.00 90.00 90.00°
Space group I4_1/amd (No. 141, origin choice 2)
Unique sites:
Li (0.000, 0.250, 0.301)
Ag (0.000, 0.250, 0.875)

Calculated values
Electronic total energy (eV per cell): -30.2
M_tot (μB/f.u.): 0.00
Energy of formation (meV/atom): -105



(11)
Density functional theory data (PBEsol) for a relaxed structure of Li2Ag.

Cell: 6.188 6.188 6.188 Å, 90.00 90.00 90.00°
Space group Fm-3m (No. 225)
Unique sites:
Li (0.250, 0.250, 0.250)
Ag (0.000, 0.000, 0.000)

Calculated values
Electronic total energy (eV per cell): -28.3
M_tot (μB/f.u.): 0.00
Energy of formation (meV/atom): 56



(12)
Density functional theory data (PBEsol) for a relaxed structure of Li7Ag.

Cell: 8.240 8.240 8.240 Å, 90.00 90.00 90.00°
Space group Fm-3m (No. 225)
Unique sites:
Li (0.000, 0.000, 0.000)
Li (0.000, 0.250, 0.250)
Ag (0.000, 0.000, 0.500)

Calculated values
Electronic total energy (eV per cell): -69.8
M_tot (μB/f.u.): 0.00
Energy of formation (meV/atom): -47



(13)
Density functional theory data (PBEsol) for a relaxed structure of Li5Ag.

Cell: 4.709 2.908 15.295 Å, 90.00 90.00 90.00°
Space group Amm2 (No. 38)
Unique sites:
Li (0.000, 0.000, 0.000)
Li (0.000, 0.000, 0.313)
Li (0.500, 0.000, 0.101)
Li (0.500, 0.000, 0.427)
Li (0.500, 0.000, 0.755)
Ag (0.000, 0.000, 0.655)

Calculated values
Electronic total energy (eV per cell): -27.1
M_tot (μB/f.u.): 0.00
Energy of formation (meV/atom): -68



(14)
Density functional theory data (PBEsol) for a relaxed structure of Li2Ag.

Cell: 12.666 2.818 5.652 Å, 90.00 104.16 90.00°
Space group C2/m (No. 12)
Unique sites:
Li (0.006, 0.000, 0.233)
Li (0.172, 0.500, 0.602)
Ag (0.166, 0.500, 0.084)

Calculated values
Electronic total energy (eV per cell): -30.5
M_tot (μB/f.u.): 0.00
Energy of formation (meV/atom): -126



(15)
Density functional theory data (PBEsol) for a relaxed structure of LiMgAg.

Cell: 3.081 3.685 9.044 Å, 90.00 90.00 90.00°
Space group Imm2 (No. 44)
Unique sites:
Li (0.000, 0.000, 0.000)
Mg (0.000, 0.000, 0.683)
Ag (0.000, 0.000, 0.352)

Calculated values
Electronic total energy (eV per cell): -15.1
Offset from the most stable computed form (kcal/mol of atoms): 0.04
M_tot (μB/f.u.): 0.00
Energy of formation (meV/atom): -183



(16)
Density functional theory data (PBEsol) for a relaxed structure of Li2MgAg.

Cell: 4.190 4.190 7.746 Å, 90.00 90.00 90.00°
Space group I-4m2 (No. 119)
Unique sites:
Li (0.000, 0.000, 0.000)
Li (0.000, 0.500, 0.250)
Mg (0.000, 0.000, 0.500)
Ag (0.000, 0.500, 0.750)

Calculated values
Electronic total energy (eV per cell): -19.2
M_tot (μB/f.u.): 0.00
Energy of formation (meV/atom): -165



(17)
Density functional theory data (PBEsol) for a relaxed structure of LiMg2Ag.

Cell: 6.612 6.612 6.612 Å, 90.00 90.00 90.00°
Space group F-43m (No. 216)
Unique sites:
Li (0.000, 0.000, 0.000)
Mg (0.000, 0.000, 0.500)
Mg (0.250, 0.250, 0.750)
Ag (0.250, 0.250, 0.250)

Calculated values
Electronic total energy (eV per cell): -36.9
Offset from the most stable computed form (kcal/mol of atoms): 2.00
M_tot (μB/f.u.): 0.00
Energy of formation (meV/atom): -129



(18)
Density functional theory data (PBEsol) for a relaxed structure of LiMg2Ag.

Cell: 10.353 3.359 4.614 Å, 90.00 115.14 90.00°
Space group Cm (No. 8)
Unique sites:
Li (0.000, 0.000, 0.000)
Mg (0.238, 0.000, 0.744)
Mg (0.467, 0.000, 0.466)
Ag (0.225, 0.500, 0.231)

Calculated values
Electronic total energy (eV per cell): -18.7
Offset from the most stable computed form (kcal/mol of atoms): 1.27
M_tot (μB/f.u.): 0.00
Energy of formation (meV/atom): -161



(19)
Density functional theory data (PBEsol) for a relaxed structure of Li2MgAg.

Cell: 3.207 3.400 6.247 Å, 90.00 90.00 90.00°
Space group Pmmm (No. 47)
Unique sites:
Li (0.000, 0.000, 0.218)
Mg (0.500, 0.500, 0.500)
Ag (0.500, 0.500, 0.000)

Calculated values
Electronic total energy (eV per cell): -9.5
M_tot (μB/f.u.): 0.00
Energy of formation (meV/atom): -127



(20)
Density functional theory data (PBEsol) for a relaxed structure of Li2MgAg.

Cell: 3.295 3.295 6.520 Å, 90.00 90.00 90.00°
Space group P4mm (No. 99)
Unique sites:
Li (0.000, 0.000, 0.000)
Li (0.500, 0.500, 0.252)
Mg (0.000, 0.000, 0.540)
Ag (0.500, 0.500, 0.785)

Calculated values
Electronic total energy (eV per cell): -9.5
M_tot (μB/f.u.): 0.00
Energy of formation (meV/atom): -135